# 1
Entry from the Open Quantum Materials Database: a geometry-optimized SrNdPdSe3 structure (GGA-PBE).

Output
- Volume: 625 Å³/cell
- Density: 6.12 g cm⁻³
- Relative energy among the computed polymorphs: 0.0 meV/atom
- Total magnetic moment: 0.0 μB/cell

Cell lengths 10.874, 4.128, 13.914 Å; angles 90.00, 90.00, 90.00 degrees
Space group Pnma (No. 62)
Symmetry-distinct sites (fractional):
1 Sr 0.221 0.250 0.005 x4
2 Nd 0.019 0.750 0.743 x4
3 Pd 0.236 0.750 0.230 x4
4 Se 0.049 0.750 0.110 x4
5 Se 0.092 0.250 0.600 x4
6 Se 0.235 0.250 0.337 x4

# 2
Entry from the Open Quantum Materials Database: a geometry-optimized Hf4As2CN structure (GGA-PBE).

Output
- Final energy: -9.4781 eV/atom
- Volume: 125 Å³/cell
- Density: 11.84 g cm⁻³
- Total magnetic moment: 0.0 μB/cell

Cell lengths 3.4169, 3.4169, 12.3422 Å; angles 90.00, 90.00, 120.00 degrees
Space group P-3m1 (No. 164)
Symmetry-distinct sites (fractional):
1 Hf 0.3333 0.6667 0.0993 x2
2 Hf 0.3333 0.6667 0.4034 x2
3 As 0.3333 0.6667 0.7468 x2
4 C 0.0000 0.0000 0.0000 x1
5 N 0.0000 0.0000 0.5000 x1

# 3
Entry from the Open Quantum Materials Database: a geometry-optimized Y4GeAuC2 structure (GGA-PBE).

Output
- Final energy: -7.0301 eV/atom
- Volume: 166 Å³/cell
- Density: 6.48 g cm⁻³
- Total magnetic moment: 0.0 μB/cell

Cell lengths 3.6536, 3.6536, 14.3885 Å; angles 90.00, 90.00, 120.00 degrees
Space group P-6m2 (No. 187)
Symmetry-distinct sites (fractional):
1 Y 0.0000 0.0000 0.1564 x2
2 Y 0.3333 0.6667 0.3438 x2
3 Ge 0.0000 0.0000 0.5000 x1
4 Au 0.3333 0.6667 0.0000 x1
5 C 0.6667 0.3333 0.2447 x2